P:
A plane-wave DFT calculation with GGA-PBE was carried out for an optimized crystal structure of NaDy2Y.

Properties
Fermi-level density of states, states/eV/f.u.: 4.97
Symmetry: R-3m (166)

a b c (Å): 3.5069 3.5069 12.8371
angles (deg): 82.15 82.15 60.00
Atoms (fractional coordinates):
1 Y 0.5000 0.5000 0.5000
2 Na 0.0000 0.0000 0.0000
3 Dy 0.0920 0.0920 0.7239
4 Dy 0.9080 0.9080 0.2761

=====

Q:
A plane-wave DFT calculation with GGA-PBE was carried out for an optimized crystal structure of NaDy2Y.

Properties
Fermi-level density of states, states/eV/f.u.: 4.74
Symmetry: P4/mmm (123)

a b c (Å): 3.5285 3.5285 10.5849
angles (deg): 90.00 90.00 90.00
Atoms (fractional coordinates):
1 Y 0.5000 0.5000 0.0000
2 Na 0.5000 0.5000 0.5000
3 Dy 0.0000 0.0000 0.7682
4 Dy 0.0000 0.0000 0.2318

=====

Preferred: Q; penalty for the next structure: 2.5 kJ/mol of atoms.

=====

P:
A plane-wave DFT calculation with GGA-PBE was carried out for an optimized crystal structure of NaDyZn2.

Properties
Fermi-level density of states, states/eV/f.u.: 2.44
Symmetry: Fm-3m (225)

a b c (Å): 4.9656 4.9656 4.9656
angles (deg): 60.00 60.00 60.00
Atoms (fractional coordinates):
1 Na 0.5000 0.5000 0.5000
2 Zn 0.2500 0.2500 0.2500
3 Zn 0.7500 0.7500 0.7500
4 Dy 0.0000 0.0000 0.0000

=====

Q:
A plane-wave DFT calculation with GGA-PBE was carried out for an optimized crystal structure of NaDyZn2.

Properties
Fermi-level density of states, states/eV/f.u.: 2.89
Symmetry: P4/mmm (123)

a b c (Å): 3.3854 5.1577 5.1577
angles (deg): 90.00 90.00 90.00
Atoms (fractional coordinates):
1 Na 0.5000 0.0000 0.0000
2 Zn 0.0000 0.0000 0.5000
3 Zn 0.0000 0.5000 0.0000
4 Dy 0.5000 0.5000 0.5000

=====

Preferred: Q; penalty for the next structure: 2.0 kJ/mol of atoms.

=====

P:
A plane-wave DFT calculation with GGA-PBE was carried out for an optimized crystal structure of NaDy2Zn.

Properties
Fermi-level density of states, states/eV/f.u.: 3.91
Symmetry: R-3m (166)

a b c (Å): 3.4894 3.4894 11.6893
angles (deg): 81.42 81.42 60.00
Atoms (fractional coordinates):
1 Na 0.0000 0.0000 0.0000
2 Zn 0.5000 0.5000 0.5000
3 Dy 0.1029 0.1029 0.6914
4 Dy 0.8971 0.8971 0.3086

=====

Q:
A plane-wave DFT calculation with GGA-PBE was carried out for an optimized crystal structure of NaDy2Zn.

Properties
Fermi-level density of states, states/eV/f.u.: 3.92
Symmetry: P4/mmm (123)

a b c (Å): 3.5781 3.5781 8.7970
angles (deg): 90.00 90.00 90.00
Atoms (fractional coordinates):
1 Na 0.5000 0.5000 0.5000
2 Zn 0.5000 0.5000 0.0000
3 Dy 0.0000 0.0000 0.8082
4 Dy 0.0000 0.0000 0.1918

=====

Preferred: Q; penalty for the next structure: 11.7 kJ/mol of atoms.